(1)
# Na3HfO3 (PBE-GGA, optimized geometry)
# V: 16.4 A^3/atom
# crystal system: monoclinic
# raw total energy: -6.11 eV/atom
data_Na3HfO3
_symmetry_space_group_name_H-M 'C 1 2/m 1'
_symmetry_Int_Tables_number 12
_symmetry_space_group_name_Hall '-C 2y'
_cell_length_a 6.893
_cell_length_b 10.762
_cell_length_c 6.236
_cell_angle_alpha 90.00
_cell_angle_beta 95.52
_cell_angle_gamma 90.00
loop_
_atom_site_label
_atom_site_type_symbol
_atom_site_fract_x
_atom_site_fract_y
_atom_site_fract_z
_atom_site_occupancy
Na1 Na 0.000 0.208 0.000 1
Na2 Na 0.000 0.276 0.500 1
Na3 Na 0.153 0.500 0.865 1
Hf1 Hf 0.208 0.000 0.637 1
O1 O 0.083 0.000 0.317 1
O2 O 0.204 0.352 0.204 1

(2)
# NaHf2O4 (PBE-GGA, optimized geometry)
# V: 12.4 A^3/atom
# crystal system: orthorhombic
# raw total energy: -8.81 eV/atom
# energy above the lowest structure with this stoichiometry: 0.000 eV/atom
# D(E_F): 0.08 states/eV/atom
data_NaHf2O4
_symmetry_space_group_name_H-M 'C m c m'
_symmetry_Int_Tables_number 63
_symmetry_space_group_name_Hall '-C 2c 2'
_cell_length_a 3.178
_cell_length_b 10.318
_cell_length_c 10.569
_cell_angle_alpha 90.00
_cell_angle_beta 90.00
_cell_angle_gamma 90.00
loop_
_atom_site_label
_atom_site_type_symbol
_atom_site_fract_x
_atom_site_fract_y
_atom_site_fract_z
_atom_site_occupancy
Na1 Na 0.000 0.116 0.250 1
Hf1 Hf 0.000 0.372 0.071 1
O1 O 0.000 0.000 0.000 1
O2 O 0.000 0.265 0.604 1
O3 O 0.000 0.441 0.250 1

(3)
# NaHf3O (PBE-GGA, optimized geometry)
# V: 18.3 A^3/atom
# crystal system: cubic
# raw total energy: -7.76 eV/atom
# energy above the lowest structure with this stoichiometry: 0.000 eV/atom
# D(E_F): 0.61 states/eV/atom
data_NaHf3O
_symmetry_space_group_name_H-M 'P m -3 m'
_symmetry_Int_Tables_number 221
_symmetry_space_group_name_Hall '-P 4 2 3'
_cell_length_a 4.510
_cell_length_b 4.510
_cell_length_c 4.510
_cell_angle_alpha 90.00
_cell_angle_beta 90.00
_cell_angle_gamma 90.00
loop_
_atom_site_label
_atom_site_type_symbol
_atom_site_fract_x
_atom_site_fract_y
_atom_site_fract_z
_atom_site_occupancy
Na1 Na 0.000 0.000 0.000 1
Hf1 Hf 0.000 0.500 0.500 1
O1 O 0.500 0.500 0.500 1